Here is a relaxed Al4TcRu crystal from the Alexandria database. Energies are from GGA-PBE.

Geometry as extended XYZ:
```
6
Lattice="4.152 0.000 0.000 0.000 4.152 0.000 0.000 0.000 5.935" Properties=species:S:1:pos:R:3 pbc="T T T"
Al 0.000 2.076 1.462
Al 0.000 2.076 4.473
Al 2.076 0.000 1.462
Al 2.076 0.000 4.473
Tc 0.000 0.000 2.968
Ru 2.076 2.076 0.000
```

Summary:
**DOS at the Fermi energy**: 3.89 states/eV per cell
**Uncorrected energy**: -35.54 eV/cell
**Energy of formation**: -154.5 meV/atom
**Space group**: P4/mmm, No. 123
**Polymorph energy (0 for the lowest one)**: 0.00 eV per formula unit